First-principles (GGA-PBE) data for a geometry-optimized Ca2PmPr structure, as listed in Alexandria via LeMat-Bulk.

abc: 5.968 5.968 5.968
angles: 60.00 60.00 60.00
Positions (direct):
Ca (0.250, 0.250, 0.250)
Ca (0.750, 0.750, 0.750)
Pm (0.000, 0.000, 0.000)
Pr (0.500, 0.500, 0.500)

Computed properties:
- Formation enthalpy at 0 K: 0.1166 eV per atom
- Size of the total moment: 0.000 μB per cell
- Raw total energy: -13.07 eV for the cell shown
- SG: Fm-3m, No. 225
- Crystal system: cubic